*a*
Density functional theory data (GGA-PBE) for a relaxed Ga2SbC crystal.

abc: 6.4091 6.4091 6.4091
angles: 128.78 128.78 75.36
Fractional coordinates of all 8 atoms:
1 Ga 0.0149 0.6250 0.8899
2 Ga 0.3750 0.2649 0.3899
3 Ga 0.7351 0.1250 0.1101
4 Ga 0.8750 0.9851 0.6101
5 Sb 0.2500 0.7500 0.5000
6 Sb 0.5000 0.5000 0.0000
7 C 0.0000 0.0000 0.0000
8 C 0.7500 0.2500 0.5000

Properties
**Space-group type**: No. 122
**DOS at the Fermi energy**: 2.960 states/eV per cell
**Size of the total moment**: 0.0 μB per cell
**Volume**: 77.85 Å³/f.u.



*b*
Density functional theory data (GGA-PBE) for a relaxed Ga2SbC crystal.

abc: 4.6768 4.6768 4.6768
angles: 60.00 60.00 60.00
Fractional coordinates of all 4 atoms:
1 Ga 0.2500 0.2500 0.2500
2 Ga 0.7500 0.7500 0.7500
3 Sb 0.0000 0.0000 0.0000
4 C 0.5000 0.5000 0.5000

Properties
**Space-group type**: No. 225
**DOS at the Fermi energy**: 1.895 states/eV per cell
**Size of the total moment**: 0.0 μB per cell
**Volume**: 72.33 Å³/f.u.



Last place for stability: *b*



*a*
Density functional theory data (GGA-PBE) for a relaxed GaC2Se crystal.

abc: 5.9228 5.9228 5.9228
angles: 133.12 133.12 68.47
Fractional coordinates of all 8 atoms:
1 Ga 0.0000 0.0000 0.0000
2 Ga 0.7500 0.2500 0.5000
3 C 0.1202 0.6250 0.9952
4 C 0.3750 0.3702 0.4952
5 C 0.6298 0.1250 0.0048
6 C 0.8750 0.8798 0.5048
7 Se 0.2500 0.7500 0.5000
8 Se 0.5000 0.5000 0.0000

Properties
**Space-group type**: No. 122
**DOS at the Fermi energy**: 7.200 states/eV per cell
**Size of the total moment**: 0.0 μB per cell
**Volume**: 54.37 Å³/f.u.



*b*
Density functional theory data (GGA-PBE) for a relaxed GaC2Se crystal.

abc: 4.0980 4.0980 4.0980
angles: 60.00 60.00 60.00
Fractional coordinates of all 4 atoms:
1 Ga 0.0000 0.0000 0.0000
2 C 0.2500 0.2500 0.2500
3 C 0.7500 0.7500 0.7500
4 Se 0.5000 0.5000 0.5000

Properties
**Space-group type**: No. 225
**DOS at the Fermi energy**: 2.345 states/eV per cell
**Size of the total moment**: 0.0 μB per cell
**Volume**: 48.66 Å³/f.u.



Last place for stability: *b*



*a*
Density functional theory data (GGA-PBE) for a relaxed GaSiC3 crystal.

abc: 3.7957 3.7957 3.7957
angles: 90.00 90.00 90.00
Fractional coordinates of all 5 atoms:
1 Ga 0.0000 0.0000 0.0000
2 Si 0.5000 0.5000 0.5000
3 C 0.0000 0.5000 0.5000
4 C 0.5000 0.0000 0.5000
5 C 0.5000 0.5000 0.0000

Properties
**Space-group type**: No. 221
**DOS at the Fermi energy**: 3.770 states/eV per cell
**Size of the total moment**: 0.0 μB per cell
**Volume**: 54.69 Å³/f.u.



*b*
Density functional theory data (GGA-PBE) for a relaxed GaSiC3 crystal.

abc: 3.9895 3.9895 3.9895
angles: 90.00 90.00 90.00
Fractional coordinates of all 5 atoms:
1 Ga 0.0000 0.0000 0.0000
2 Si 0.5000 0.5000 0.5000
3 C 0.0000 0.0000 0.5000
4 C 0.0000 0.5000 0.0000
5 C 0.5000 0.0000 0.0000

Properties
**Space-group type**: No. 221
**DOS at the Fermi energy**: 3.733 states/eV per cell
**Size of the total moment**: 0.0 μB per cell
**Volume**: 63.50 Å³/f.u.



Last place for stability: *b*



*a*
Density functional theory data (GGA-PBE) for a relaxed Ga2SiC crystal.

abc: 4.3568 4.3568 4.3568
angles: 60.00 60.00 60.00
Fractional coordinates of all 4 atoms:
1 Ga 0.2500 0.2500 0.2500
2 Ga 0.7500 0.7500 0.7500
3 Si 0.0000 0.0000 0.0000
4 C 0.5000 0.5000 0.5000

Properties
**Space-group type**: No. 225
**DOS at the Fermi energy**: 2.546 states/eV per cell
**Size of the total moment**: 0.0 μB per cell
**Volume**: 58.48 Å³/f.u.



*b*
Density functional theory data (GGA-PBE) for a relaxed Ga2SiC crystal.

abc: 6.0172 6.0172 6.0172
angles: 126.66 126.66 78.81
Fractional coordinates of all 8 atoms:
1 Ga 0.0444 0.6250 0.9194
2 Ga 0.3750 0.2944 0.4194
3 Ga 0.7056 0.1250 0.0806
4 Ga 0.8750 0.9556 0.5806
5 Si 0.2500 0.7500 0.5000
6 Si 0.5000 0.5000 0.0000
7 C 0.0000 0.0000 0.0000
8 C 0.7500 0.2500 0.5000

Properties
**Space-group type**: No. 122
**DOS at the Fermi energy**: 1.957 states/eV per cell
**Size of the total moment**: 0.0 μB per cell
**Volume**: 67.83 Å³/f.u.



Last place for stability: *a*